Compound: Sc2TaCl
Source: Alexandria via LeMat-Bulk
Functional: PBE
Structure: optimized geometry

Summary:
calculated volume	328.7	Å³ per cell
energy relative to the elements, uncorrected	403	meV/atom
offset from the most stable computed form	3.63	eV per formula unit

abc: 6.9011 6.9011 6.9011
angles: 90.00 90.00 90.00
Closest atoms and distances in Å follow each position.
Element x y z (fractional)
Sc 0.2500 0.2500 0.2500  4 Ta 2.99, 4 Cl 2.99
Sc 0.2500 0.2500 0.7500  4 Ta 2.99, 4 Cl 2.99
Sc 0.2500 0.7500 0.2500  4 Ta 2.99, 4 Cl 2.99
Sc 0.2500 0.7500 0.7500  4 Ta 2.99, 4 Cl 2.99
Sc 0.7500 0.2500 0.2500  4 Ta 2.99, 4 Cl 2.99
Sc 0.7500 0.2500 0.7500  4 Ta 2.99, 4 Cl 2.99
Sc 0.7500 0.7500 0.2500  4 Ta 2.99, 4 Cl 2.99
Sc 0.7500 0.7500 0.7500  4 Ta 2.99, 4 Cl 2.99
Ta 0.0000 0.0000 0.0000  8 Sc 2.99
Ta 0.0000 0.5000 0.5000  8 Sc 2.99
Ta 0.5000 0.0000 0.5000  8 Sc 2.99
Ta 0.5000 0.5000 0.0000  8 Sc 2.99
Cl 0.0000 0.0000 0.5000  8 Sc 2.99
Cl 0.0000 0.5000 0.0000  8 Sc 2.99
Cl 0.5000 0.0000 0.0000  8 Sc 2.99
Cl 0.5000 0.5000 0.5000  8 Sc 2.99